Compound: ZnCoO2
Source: OQMD
Functional: PBE+U
Structure: relaxed

Cell and atoms, written as POSCAR:
```
ZnCoO2
1.0
4.5811 0.0000 0.0000
0.0000 4.5811 0.0000
0.0000 0.0000 9.1259
Zn Co O
4 4 8
Cartesian
0.0000 0.0000 0.0000
0.0000 2.2906 2.2815
2.2906 0.0000 6.8444
2.2906 2.2906 4.5630
0.0000 0.0000 4.5630
0.0000 2.2906 6.8444
2.2906 0.0000 2.2815
2.2906 2.2906 0.0000
1.1470 1.1453 1.1407
1.1435 1.1453 5.7037
1.1453 3.4376 3.4222
1.1453 3.4341 7.9852
3.4359 1.1435 3.4222
3.4359 1.1470 7.9852
3.4341 3.4359 1.1407
3.4376 3.4359 5.7037
```

Values from the calculation:
* VASP energy: -5.29 eV per atom